Record 1
A relaxed structure of SrGeH3. Source: Alexandria, functional PBEsol.

Lattice parameters (Å, degrees): 3.9586 3.9586 3.9586 90.00 90.00 90.00
Space group Pm-3m (No. 221)
Symmetry-distinct sites (fractional):
Sr1 0.0000 0.0000 0.0000 x1
Ge1 0.5000 0.5000 0.5000 x1
H1 0.0000 0.5000 0.5000 x3

Values from the calculation:
Electronic total energy   -16.7 eV for the cell shown

Record 2
A relaxed structure of Mn3Ag4O8. Source: Alexandria, functional PBEsol.

Lattice parameters (Å, degrees): 8.7917 8.8526 9.0041 89.94 89.39 89.72
Space group P1 (No. 1)
Symmetry-distinct sites (fractional):
Mn1 0.0000 0.0000 0.0000 x1
Mn2 0.0372 0.7502 0.7975 x1
Mn3 0.0813 0.5427 0.5435 x1
Mn4 0.2469 0.7925 0.0454 x1
Mn5 0.2923 0.5857 0.2945 x1
Mn6 0.3336 0.3318 0.4985 x1
Mn7 0.4964 0.8349 0.2485 x1
Mn8 0.5440 0.0754 0.4575 x1
Mn9 0.5852 0.2840 0.6989 x1
Mn10 0.7505 0.0379 0.2039 x1
Mn11 0.7886 0.2454 0.9515 x1
Mn12 0.8317 0.4986 0.7508 x1
Ag1 0.0113 0.1414 0.6400 x1
Ag2 0.0367 0.4330 0.1153 x1
Ag3 0.0705 0.1855 0.3270 x1
Ag4 0.1820 0.3008 0.8435 x1
Ag5 0.1993 0.9275 0.4847 x1
Ag6 0.3807 0.9539 0.7445 x1
Ag7 0.3983 0.1288 0.9994 x1
Ag8 0.4218 0.4621 0.9579 x1
Ag9 0.4317 0.6478 0.7110 x1
Ag10 0.5234 0.3219 0.2091 x1
Ag11 0.6434 0.8131 0.8900 x1
Ag12 0.6658 0.6641 0.4902 x1
Ag13 0.6752 0.5726 0.1041 x1
Ag14 0.8089 0.3832 0.3531 x1
Ag15 0.8784 0.8944 0.5139 x1
Ag16 0.9093 0.7122 0.2561 x1
O1 0.0107 0.9569 0.7973 x1
O2 0.0268 0.7808 0.0126 x1
O3 0.0522 0.5278 0.7575 x1
O4 0.0649 0.7512 0.5883 x1
O5 0.0832 0.5748 0.3379 x1
O6 0.1213 0.3324 0.5236 x1
O7 0.2060 0.9980 0.0355 x1
O8 0.2489 0.7676 0.8364 x1
O9 0.2578 0.5842 0.0887 x1
O10 0.2792 0.8034 0.2631 x1
O11 0.3006 0.5530 0.5118 x1
O12 0.3078 0.3761 0.2947 x1
O13 0.3354 0.1246 0.4658 x1
O14 0.3754 0.3208 0.7000 x1
O15 0.4553 0.8246 0.0440 x1
O16 0.5026 0.6253 0.2774 x1
O17 0.5134 0.8679 0.4530 x1
O18 0.5299 0.0496 0.2375 x1
O19 0.5563 0.2985 0.4863 x1
O20 0.5690 0.0771 0.6608 x1
O21 0.5789 0.2604 0.9069 x1
O22 0.6244 0.4929 0.7158 x1
O23 0.7082 0.8333 0.2093 x1
O24 0.7511 0.0654 0.4105 x1
O25 0.7545 0.2478 0.1606 x1
O26 0.7786 0.0289 0.9881 x1
O27 0.8060 0.2763 0.7390 x1
O28 0.8198 0.4547 0.9545 x1
O29 0.8294 0.7069 0.7777 x1
O30 0.8709 0.5142 0.5431 x1
O31 0.9590 0.0153 0.2043 x1
O32 0.9979 0.2111 0.9730 x1

Values from the calculation:
Electronic total energy   -399.1 eV for the cell shown

Record 3
A relaxed structure of ScSiRu2. Source: Alexandria, functional PBEsol.

Lattice parameters (Å, degrees): 2.8991 4.3552 4.7859 90.00 105.65 90.00
Space group Pm (No. 6)
Symmetry-distinct sites (fractional):
Sc1 0.0000 0.0000 0.0000 x1
Si1 0.5793 0.5000 0.2339 x1
Ru1 0.2611 0.5000 0.6817 x1
Ru2 0.6367 0.0000 0.4841 x1

Values from the calculation:
Electronic total energy   -34.5 eV for the cell shown

Record 4
A relaxed structure of Na2SrVP2O9. Source: Alexandria, functional PBEsol.

Lattice parameters (Å, degrees): 10.6251 6.6049 10.2746 90.00 90.00 90.00
Space group Pnma (No. 62)
Symmetry-distinct sites (fractional):
Na1 0.2167 0.0004 0.1360 x8
Sr1 0.0561 0.2500 0.4026 x4
V1 0.0280 0.2500 0.8107 x4
P1 0.0874 0.7500 0.8690 x4
P2 0.1845 0.7500 0.4158 x4
O1 0.0079 0.5631 0.8190 x8
O2 0.0969 0.7500 0.0186 x4
O3 0.1031 0.2500 0.6731 x4
O4 0.1313 0.5647 0.4869 x8
O5 0.1470 0.7500 0.2701 x4
O6 0.1699 0.2500 0.9309 x4
O7 0.2176 0.7500 0.8024 x4

Values from the calculation:
Electronic total energy   -441.3 eV for the cell shown